Entry 1:
Here is a geometry-optimized Dy2HoSc6 structure from Alexandria via LeMat-Bulk. Energies are from PBE-GGA.

Unit cell a=3.3921 b=3.3921 c=24.3637 alpha=90.00 beta=90.00 gamma=120.00
Space group P-6m2 (No. 187)
One atom of each set of equivalent atoms:
Dy 0.0000 0.0000 0.1724
Ho 0.6667 0.3333 0.5000
Sc 0.0000 0.0000 0.3881
Sc 0.6667 0.3333 0.0617
Sc 0.6667 0.3333 0.2852

Results
The energy relative to the lowest polymorph listed for this composition comes out at 0.012 eV/atom. The value obtained for the magnetic moment is 1.18 μB/cell.

Entry 2:
Here is a geometry-optimized HfCo2Ge structure from Alexandria via LeMat-Bulk. Energies are from PBE-GGA.

Unit cell a=6.632 b=6.632 c=5.512 alpha=90.00 beta=90.00 gamma=90.00
Space group I-42d (No. 122)
One atom of each set of equivalent atoms:
Hf 0.000 0.000 0.000
Co 0.218 0.250 0.625
Ge 0.000 0.000 0.500

Results
The value obtained for the magnetic moment is 0.00 μB/cell.

Entry 3:
Here is a geometry-optimized KCaNd2Te4 structure from Alexandria via LeMat-Bulk. Energies are from PBE-GGA.

Unit cell a=7.906 b=4.530 c=8.119 alpha=90.00 beta=108.53 gamma=90.00
Space group P2/m (No. 10)
One atom of each set of equivalent atoms:
K 0.000 0.000 0.000
Ca 0.500 0.500 0.000
Nd 0.000 0.500 0.500
Nd 0.500 0.000 0.500
Te 0.256 0.000 0.745
Te 0.263 0.500 0.265

Results
Its raw formation energy is -138.98 kJ/mol of atoms. The value obtained for the magnetic moment is 0.00 μB/cell.

Entry 4:
Here is a geometry-optimized TbPm4Pr2Nd structure from Alexandria via LeMat-Bulk. Energies are from PBE-GGA.

Unit cell a=13.866 b=13.438 c=6.969 alpha=90.00 beta=119.89 gamma=90.00
Space group C2/c (No. 15)
One atom of each set of equivalent atoms:
Tb 0.000 0.000 0.000
Pm 0.001 0.245 0.002
Pm 0.246 0.000 0.453
Pr 0.000 0.500 0.000
Pr 0.250 0.250 0.000
Nd 0.250 0.250 0.500

Results
The value obtained for the magnetic moment is 0.01 μB/cell.

Entry 5:
Here is a geometry-optimized AlReMoW2 structure from Alexandria via LeMat-Bulk. Energies are from PBE-GGA.

Unit cell a=4.688 b=4.688 c=4.543 alpha=90.00 beta=90.00 gamma=90.00
Space group P4/mmm (No. 123)
One atom of each set of equivalent atoms:
Al 0.000 0.000 0.000
Re 0.500 0.500 0.000
Mo 0.000 0.000 0.500
W 0.000 0.500 0.500

Results
The value obtained for the magnetic moment is 1.27 μB/cell.

Entry 6:
Here is a geometry-optimized Sb3Te4Au2 structure from Alexandria via LeMat-Bulk. Energies are from PBE-GGA.

Unit cell a=11.816 b=13.149 c=7.069 alpha=90.00 beta=92.49 gamma=90.00
Space group C2/c (No. 15)
One atom of each set of equivalent atoms:
Sb 0.000 0.101 0.250
Sb 0.109 0.339 0.475
Te 0.148 0.134 0.617
Te 0.165 0.407 0.869
Au 0.136 0.229 0.068

Results
Its raw formation energy is 0.51 kJ/mol of atoms. The value obtained for the magnetic moment is 0.00 μB/cell.

Entry 7:
Here is a geometry-optimized Rb2PBr structure from Alexandria via LeMat-Bulk. Energies are from PBE-GGA.

Unit cell a=9.027 b=9.027 c=9.529 alpha=90.00 beta=90.00 gamma=90.00
Space group I-42d (No. 122)
One atom of each set of equivalent atoms:
Rb 0.241 0.250 0.125
P 0.000 0.000 0.500
Br 0.000 0.000 0.000

Results
Its raw formation energy is -43.32 kJ/mol of atoms. The energy relative to the lowest polymorph listed for this composition comes out at 0.019 eV/atom. The value obtained for the magnetic moment is 8.00 μB/cell.

Entry 8:
Here is a geometry-optimized Hf7Cd2 structure from Alexandria via LeMat-Bulk. Energies are from PBE-GGA.

Unit cell a=5.5246 b=5.5246 c=7.6128 alpha=90.00 beta=90.00 gamma=120.00
Space group P-31m (No. 162)
One atom of each set of equivalent atoms:
Hf 0.0000 0.0000 0.0000
Hf 0.0000 0.3314 0.6603
Cd 0.3333 0.6667 0.0000

Results
The value obtained for the magnetic moment is 1.52 μB/cell.

Entry 9:
Here is a geometry-optimized PaInHgPb structure from Alexandria via LeMat-Bulk. Energies are from PBE-GGA.

Unit cell a=4.557 b=4.648 c=4.864 alpha=90.00 beta=90.00 gamma=90.00
Space group Pmmm (No. 47)
One atom of each set of equivalent atoms:
Pa 0.000 0.000 0.000
In 0.500 0.000 0.500
Hg 0.000 0.500 0.500
Pb 0.500 0.500 0.000

Results
The value obtained for the magnetic moment is 0.98 μB/cell.

Entry 10:
Here is a geometry-optimized SrZnRu2N structure from Alexandria via LeMat-Bulk. Energies are from PBE-GGA.

Unit cell a=4.561 b=4.561 c=5.953 alpha=90.00 beta=90.00 gamma=90.00
Space group P4/mmm (No. 123)
One atom of each set of equivalent atoms:
Sr 0.000 0.000 0.000
Zn 0.000 0.000 0.500
Ru 0.000 0.500 0.500
N 0.500 0.500 0.000

Results
Its raw formation energy is 179.91 kJ/mol of atoms. The value obtained for the magnetic moment is 5.11 μB/cell.

Entry 11:
Here is a geometry-optimized La2TbHo9 structure from Alexandria via LeMat-Bulk. Energies are from PBE-GGA.

Unit cell a=11.3184 b=11.3184 c=3.4813 alpha=90.00 beta=90.00 gamma=120.00
Space group P6/mmm (No. 191)
One atom of each set of equivalent atoms:
La 0.3333 0.6667 0.0000
Tb 0.0000 0.0000 0.0000
Ho 0.0000 0.5000 0.0000
Ho 0.1720 0.3440 0.5000

Results
The energy relative to the lowest polymorph listed for this composition comes out at 0.060 eV/atom. The value obtained for the magnetic moment is 0.00 μB/cell.

Entry 12:
Here is a geometry-optimized LiAc2SiRh6 structure from Alexandria via LeMat-Bulk. Energies are from PBE-GGA.

Unit cell a=6.369 b=6.397 c=9.030 alpha=90.00 beta=90.00 gamma=90.00
Space group Immm (No. 71)
One atom of each set of equivalent atoms:
Li 0.000 0.000 0.000
Ac 0.000 0.500 0.251
Si 0.000 0.000 0.500
Rh 0.000 0.000 0.248
Rh 0.247 0.250 0.000

Results
Its raw formation energy is -40.43 kJ/mol of atoms. The value obtained for the magnetic moment is 0.00 μB/cell.

| no. | electronic total energy (eV per atom) |
| --- | --- |
| 1 | -5.675 |
| 2 | -7.102 |
| 3 | -4.591 |
| 4 | -4.372 |
| 5 | -8.432 |
| 6 | -3.493 |
| 7 | -2.703 |
| 8 | -7.866 |
| 9 | -4.111 |
| 10 | -4.102 |
| 11 | -4.550 |
| 12 | -6.385 |